A relaxed ZnNi3F crystal. Source: the Alexandria database, functional GGA+U.

Output
relative energy among the computed polymorphs	0	meV per atom
SG	Pm-3m, No. 221
total magnetization	2.90	μB/cell
N(E_F)	0.28	states/eV/atom
ρ	6408	kg/m³
volume	13.50	Å³ per atom

Cell lengths 4.0716, 4.0716, 4.0716 Å; angles 90.00, 90.00, 90.00 degrees
Fractional positions:
Zn1 0.0000 0.0000 0.0000
Ni1 0.0000 0.5000 0.5000
Ni2 0.5000 0.0000 0.5000
Ni3 0.5000 0.5000 0.0000
F1 0.5000 0.5000 0.5000